Model 1:
# Ta3BeMo

Crystalline Ta3BeMo at its relaxed geometry (PBE, Alexandria).

Values from the calculation:
The calculation puts the density of states at the Fermi level at 3.90 states/eV per cell.

a b c (Å): 4.804 4.804 4.804
angles (deg): 90.00 90.00 90.00
Space group Pm-3m (No. 221)
One atom of each set of equivalent atoms:
Ta1 0.000 0.000 0.500 x3
Be1 0.500 0.500 0.500 x1
Mo1 0.000 0.000 0.000 x1

=====

Model 2:
# Ta3BeMo

Crystalline Ta3BeMo at its relaxed geometry (PBE, Alexandria).

Values from the calculation:
The calculation puts the density of states at the Fermi level at 3.34 states/eV per cell.

a b c (Å): 4.400 4.400 4.400
angles (deg): 90.00 90.00 90.00
Space group Pm-3m (No. 221)
One atom of each set of equivalent atoms:
Ta1 0.000 0.000 0.500 x3
Be1 0.000 0.000 0.000 x1
Mo1 0.500 0.500 0.500 x1

=====

Which structure is the most stable? The one labeled model 2.